Entry 1:
Material: Cd2FeSi
Method: DFT, meta-GGA SCAN
State: PBEsol geometry

spin magnetization: 2.4 μB per formula unit
theoretical density: 8.00 g/cm³
Fermi-level density of states: 5.56 states/eV/cell
formation energy without anion corrections: 0.41 eV per atom
SG: No. 119
VASP energy: -21.837 eV/atom

The structure in POSCAR format:
```
Cd2FeSi
1.0
3.9427 0.0000 0.0000
0.0000 3.9427 0.0000
0.0000 0.0000 8.2490
Cd Fe Si
4 2 2
Direct
0.0000 0.0000 0.0000
0.0000 0.5000 0.2500
0.5000 0.0000 0.7500
0.5000 0.5000 0.5000
0.0000 0.0000 0.5000
0.5000 0.5000 0.0000
0.0000 0.5000 0.7500
0.5000 0.0000 0.2500
```

=====

Entry 2:
Material: CdFeSi
Method: DFT, meta-GGA SCAN
State: PBEsol geometry

spin magnetization: 0.0 μB per formula unit
theoretical density: 7.72 g/cm³
Fermi-level density of states: 0.91 states/eV/cell
formation energy without anion corrections: 0.20 eV per atom
SG: No. 107
energy above the lowest structure with this stoichiometry: 0.000 eV/atom
VASP energy: -19.315 eV/atom

The structure in POSCAR format:
```
CdFeSi
1.0
2.9356 0.0000 0.0000
0.0000 2.9356 0.0000
0.0000 0.0000 9.8069
Cd Fe Si
2 2 2
Direct
0.0000 0.0000 0.0000
0.5000 0.5000 0.5000
0.0000 0.0000 0.6952
0.5000 0.5000 0.1952
0.0000 0.0000 0.2910
0.5000 0.5000 0.7910
```

=====

Entry 3:
Material: CdFeSi
Method: DFT, meta-GGA SCAN
State: PBEsol geometry

spin magnetization: 0.0 μB per formula unit
theoretical density: 7.46 g/cm³
Fermi-level density of states: 1.33 states/eV/cell
formation energy without anion corrections: 0.36 eV per atom
SG: No. 187
energy above the lowest structure with this stoichiometry: 0.157 eV/atom
VASP energy: -19.158 eV/atom

The structure in POSCAR format:
```
CdFeSi
1.0
3.9034 0.0000 0.0000
-1.9517 3.3804 0.0000
0.0000 0.0000 3.3114
Cd Fe Si
1 1 1
Direct
0.0000 0.0000 0.0000
0.3333 0.6667 0.5000
0.6667 0.3333 0.5000
```

=====

Entry 4:
Material: CdFe3Sn
Method: DFT, meta-GGA SCAN
State: PBEsol geometry

spin magnetization: 9.1 μB per formula unit
formation enthalpy at 0 K: 1366 meV per atom
theoretical density: 6.48 g/cm³
Fermi-level density of states: 6.05 states/eV/cell
SG: No. 221
VASP energy: -22.779 eV/atom

The structure in POSCAR format:
```
CdFe3Sn
1.0
4.6751 0.0000 0.0000
0.0000 4.6751 0.0000
0.0000 0.0000 4.6751
Cd Fe Sn
1 3 1
Direct
0.0000 0.0000 0.0000
0.0000 0.0000 0.5000
0.0000 0.5000 0.0000
0.5000 0.0000 0.0000
0.5000 0.5000 0.5000
```

=====

Entry 5:
Material: CdFeSn3
Method: DFT, meta-GGA SCAN
State: PBEsol geometry

spin magnetization: 0.0 μB per formula unit
formation enthalpy at 0 K: 292 meV per atom
theoretical density: 7.45 g/cm³
Fermi-level density of states: 4.14 states/eV/cell
SG: No. 221
VASP energy: -30.969 eV/atom

The structure in POSCAR format:
```
CdFeSn3
1.0
4.8889 0.0000 0.0000
0.0000 4.8889 0.0000
0.0000 0.0000 4.8889
Cd Fe Sn
1 1 3
Direct
0.0000 0.0000 0.0000
0.5000 0.5000 0.5000
0.0000 0.5000 0.5000
0.5000 0.0000 0.5000
0.5000 0.5000 0.0000
```

=====

Entry 6:
Material: SrCd2Fe
Method: DFT, meta-GGA SCAN
State: PBEsol geometry

spin magnetization: 2.6 μB per formula unit
formation enthalpy at 0 K: 249 meV per atom
theoretical density: 6.94 g/cm³
Fermi-level density of states: 4.44 states/eV/cell
SG: No. 71
VASP energy: -25.060 eV/atom

The structure in POSCAR format:
```
SrCd2Fe
1.0
3.2619 0.0000 0.0000
0.0000 5.1325 0.0000
0.0000 0.0000 10.5254
Sr Cd Fe
2 4 2
Direct
0.0000 0.0000 0.0000
0.5000 0.5000 0.5000
0.0000 0.5000 0.2074
0.0000 0.5000 0.7926
0.5000 0.0000 0.2926
0.5000 0.0000 0.7074
0.0000 0.0000 0.5000
0.5000 0.5000 0.0000
```